Entry w
Compound: ZrCuSiPt
Source: OQMD
Functional: PBE
Structure: optimized geometry

abc: 6.336 6.336 6.336
angles: 90.00 90.00 90.00
Space group F-43m (No. 216)
Unique sites:
1 Zr 0.000 0.000 0.000 (multiplicity 4)
2 Cu 0.250 0.250 0.750 (multiplicity 4)
3 Si 0.000 0.000 0.500 (multiplicity 4)
4 Pt 0.250 0.250 0.250 (multiplicity 4)


Entry x
Compound: ZrCuSiPt
Source: OQMD
Functional: PBE
Structure: optimized geometry

abc: 6.342 6.342 6.342
angles: 90.00 90.00 90.00
Space group F-43m (No. 216)
Unique sites:
1 Zr 0.000 0.000 0.000 (multiplicity 4)
2 Cu 0.000 0.000 0.500 (multiplicity 4)
3 Si 0.250 0.250 0.250 (multiplicity 4)
4 Pt 0.250 0.250 0.750 (multiplicity 4)


Need the numbers? Relative energies in meV per atom: entry w 0; entry x 21.


Entry w
Compound: CuSn2Pt
Source: OQMD
Functional: PBE
Structure: optimized geometry

abc: 6.775 6.775 6.775
angles: 90.00 90.00 90.00
Space group F-43m (No. 216)
Unique sites:
1 Cu 0.000 0.000 0.000 (multiplicity 4)
2 Sn 0.000 0.000 0.500 (multiplicity 4)
3 Sn 0.250 0.250 0.250 (multiplicity 4)
4 Pt 0.250 0.250 0.750 (multiplicity 4)


Entry x
Compound: CuSn2Pt
Source: OQMD
Functional: PBE
Structure: optimized geometry

abc: 4.1842 4.1842 5.3011
angles: 90.00 90.00 120.00
Space group P-3m1 (No. 164)
Unique sites:
1 Cu 0.0000 0.0000 0.0000 (multiplicity 1)
2 Sn 0.3333 0.6667 0.7508 (multiplicity 2)
3 Pt 0.0000 0.0000 0.5000 (multiplicity 1)


Need the numbers? Relative energies in meV per atom: entry w 469; entry x 0.


Entry w
Compound: TmCuPt
Source: OQMD
Functional: PBE
Structure: optimized geometry

abc: 6.342 6.342 6.342
angles: 90.00 90.00 90.00
Space group F-43m (No. 216)
Unique sites:
1 Tm 0.000 0.000 0.000 (multiplicity 4)
2 Cu 0.000 0.000 0.500 (multiplicity 4)
3 Pt 0.250 0.250 0.750 (multiplicity 4)


Entry x
Compound: TmCuPt
Source: OQMD
Functional: PBE
Structure: optimized geometry

abc: 6.389 6.389 6.389
angles: 90.00 90.00 90.00
Space group F-43m (No. 216)
Unique sites:
1 Tm 0.000 0.000 0.000 (multiplicity 4)
2 Cu 0.250 0.250 0.750 (multiplicity 4)
3 Pt 0.250 0.250 0.250 (multiplicity 4)


Need the numbers? Relative energies in meV per atom: entry w 0; entry x 351.


Entry w
Compound: ZnCuPtW
Source: OQMD
Functional: PBE
Structure: optimized geometry

abc: 6.154 6.154 6.154
angles: 90.00 90.00 90.00
Space group F-43m (No. 216)
Unique sites:
1 Zn 0.000 0.000 0.000 (multiplicity 4)
2 Cu 0.250 0.250 0.250 (multiplicity 4)
3 Pt 0.250 0.250 0.750 (multiplicity 4)
4 W 0.000 0.000 0.500 (multiplicity 4)


Entry x
Compound: ZnCuPtW
Source: OQMD
Functional: PBE
Structure: optimized geometry

abc: 6.144 6.144 6.144
angles: 90.00 90.00 90.00
Space group F-43m (No. 216)
Unique sites:
1 Zn 0.000 0.000 0.000 (multiplicity 4)
2 Cu 0.250 0.250 0.250 (multiplicity 4)
3 Pt 0.000 0.000 0.500 (multiplicity 4)
4 W 0.250 0.250 0.750 (multiplicity 4)


Need the numbers? Relative energies in meV per atom: entry w 0; entry x 24.